{"formula": "CaFeF4", "functional": "PBE+U", "state": "optimized geometry", "cell": [[6.844, -2.138, 0.000], [6.844, 2.138, 0.000], [-1.407, 0.000, 6.900]], "species": ["Ca", "Ca", "Fe", "Fe", "F", "F", "F", "F", "F", "F", "F", "F"], "frac_coords": [[0.211, 0.211, 0.275], [0.789, 0.789, 0.725], [0.092, 0.092, 0.685], [0.908, 0.908, 0.315], [0.064, 0.064, 0.380], [0.148, 0.148, 0.966], [0.249, 0.249, 0.635], [0.381, 0.381, 0.311], [0.619, 0.619, 0.689], [0.751, 0.751, 0.365], [0.852, 0.852, 0.034], [0.936, 0.936, 0.620]], "dft_energy_ev_per_atom": -5.652, "sg": "No. 12"}